i:
Material: Re3WC
Method: DFT, PBE
State: relaxed

Its density of states at the Fermi level is 1.8188 states/eV per atom.

The structure belongs to space group Pm-3m (No. 221); the cell edges are 4.726, 4.726 and 4.726 Å and the angles 90.00°, 90.00° and 90.00°. Symmetry generates all atoms from Re at (0.000, 0.000, 0.500), W at (0.000, 0.000, 0.000) and C at (0.500, 0.500, 0.500).


ii:
Material: Re3WC
Method: DFT, PBE
State: relaxed

Its density of states at the Fermi level is 0.4798 states/eV per atom.

The structure belongs to space group Pm-3m (No. 221); the cell edges are 4.089, 4.089 and 4.089 Å and the angles 90.00°, 90.00° and 90.00°. Symmetry generates all atoms from Re at (0.000, 0.000, 0.500), W at (0.500, 0.500, 0.500) and C at (0.000, 0.000, 0.000).


Which of them is least stable? Easy: i.


i:
Material: YRe2C2
Method: DFT, PBE
State: relaxed

Its density of states at the Fermi level is 0.2703 states/eV per atom.

The structure belongs to space group C2/c (No. 15); the cell edges are 6.903, 8.782 and 5.531 Å and the angles 90.00°, 123.03° and 90.00°. Symmetry generates all atoms from Y at (0.000, 0.127, 0.250), Re at (0.155, 0.384, 0.034), C at (0.000, 0.186, 0.750) and C at (0.000, 0.424, 0.250).


ii:
Material: YRe2C2
Method: DFT, PBE
State: relaxed

Its density of states at the Fermi level is 0.5329 states/eV per atom.

The structure belongs to space group P4/mbm (No. 127); the cell edges are 6.645, 6.645 and 2.921 Å and the angles 90.00°, 90.00° and 90.00°. Symmetry generates all atoms from Y at (0.000, 0.000, 0.000), Re at (0.132, 0.368, 0.500) and C at (0.129, 0.629, 0.000).


iii:
Material: YRe2C2
Method: DFT, PBE
State: relaxed

Its density of states at the Fermi level is 1.1274 states/eV per atom.

The structure belongs to space group I4/mmm (No. 139); the cell edges are 3.899, 3.899 and 9.922 Å and the angles 90.00°, 90.00° and 90.00°. Symmetry generates all atoms from Y at (0.000, 0.000, 0.000), Re at (0.000, 0.500, 0.250) and C at (0.000, 0.000, 0.327).


Which of them is least stable? Easy: ii.